Compound: AcPbWO6
Source: the Alexandria database
Functional: GGA+U
Structure: relaxed

Properties
D(E_F)   0.492 states/eV/atom
Electronic total energy   -7.0503 eV/atom
Magnetic moment   0.0 Bohr magnetons per cell

Cell: 5.2651 5.2651 10.5499 Å, 90.00 90.00 90.00°
Closest atoms and distances in Å follow each position.
Space group P4_2nm (No. 102)
Unique sites:
1 Ac 0.0000 0.0000 0.0000 x2  6 O 2.44-2.50
2 Pb 0.0000 0.0000 0.3299 x2  6 O 2.40-2.45
3 W 0.0000 0.0000 0.6647 x2  6 O 1.96-1.97
4 O 0.1735 0.1735 0.5236 x4  1 W 1.97
5 O 0.1808 0.1808 0.7998 x4  1 W 1.96
6 O 0.2366 0.2366 0.1687 x4  1 W 1.96